The following is a PBE calculation of a relaxed structure of LiYBrF2, from Alexandria via LeMat-Bulk.

Output
E in eV/atom: -3.59
Formation energy from raw total energies in meV/atom: -827.9
SG: P4/mmm

abc: 5.6157 5.6157 5.0058
angles: 90.00 90.00 90.00
Fractional coordinates of all 5 atoms:
Li  0.0000  0.0000  0.0000
Y  0.5000  0.5000  0.0000
Br  0.5000  0.5000  0.5000
F  0.0000  0.5000  0.5000
F  0.5000  0.0000  0.5000

The following is a PBE calculation of a relaxed structure of MgBr3F, from Alexandria via LeMat-Bulk.

Output
E in eV/atom: -1.82
Formation energy from raw total energies in meV/atom: -127.6
SG: Pm-3m

abc: 4.9600 4.9600 4.9600
angles: 90.00 90.00 90.00
Fractional coordinates of all 5 atoms:
Mg  0.0000  0.0000  0.0000
Br  0.0000  0.5000  0.5000
Br  0.5000  0.0000  0.5000
Br  0.5000  0.5000  0.0000
F  0.5000  0.5000  0.5000

Question: Which of these has the lowest E?
Answer: LiYBrF2

What did the first record say?
The following is a PBE calculation of a relaxed structure of LiYBrF2, from Alexandria via LeMat-Bulk.

Output
E in eV/atom: -3.59
Formation energy from raw total energies in meV/atom: -827.9
SG: P4/mmm

abc: 5.6157 5.6157 5.0058
angles: 90.00 90.00 90.00
Fractional coordinates of all 5 atoms:
Li  0.0000  0.0000  0.0000
Y  0.5000  0.5000  0.0000
Br  0.5000  0.5000  0.5000
F  0.0000  0.5000  0.5000
F  0.5000  0.0000  0.5000

Question: Which value of E does entry 1 give?
Answer: -3.59 eV/atom

Question: E of number 1 (LiYBrF2)?
Answer: -3.59 eV/atom